# 1
Computed, not measured: a relaxed Th2Co5Ge3 crystal at the PBE-GGA level of DFT.

abc: 9.753 11.533 5.779
angles: 90.00 90.00 90.00
Space group Ibam (No. 72)
Unique sites:
Th1 0.246 0.126 0.000 (multiplicity 8)
Co1 0.000 0.000 0.250 (multiplicity 4)
Co2 0.000 0.254 0.250 (multiplicity 8)
Co3 0.133 0.374 0.000 (multiplicity 8)
Ge1 0.000 0.500 0.250 (multiplicity 4)
Ge2 0.124 0.126 0.500 (multiplicity 8)

Results
Crystal system: orthorhombic
Calculated formation energy: -0.4499 eV per atom
M_tot: 2.67 μB/f.u.
Excess energy over the best structure of this formula in the dataset: 0.00 kJ per mole of atoms

# 2
Computed, not measured: a relaxed Tb2TmUP4 crystal at the PBE-GGA level of DFT.

abc: 6.882 3.969 6.897
angles: 90.00 109.22 90.00
Space group P2/m (No. 10)
Unique sites:
Tb1 0.000 0.000 0.000 (multiplicity 1)
Tb2 0.500 0.500 0.000 (multiplicity 1)
Tm1 0.000 0.500 0.500 (multiplicity 1)
U1 0.500 0.000 0.500 (multiplicity 1)
P1 0.251 0.000 0.742 (multiplicity 2)
P2 0.254 0.500 0.258 (multiplicity 2)

Results
Crystal system: monoclinic
Calculated formation energy: -1.4505 eV per atom
M_tot: 2.04 μB/f.u.

# 3
Computed, not measured: a relaxed Pm2TmPu crystal at the PBE-GGA level of DFT.

abc: 3.538 3.538 10.096
angles: 90.00 90.00 90.00
Space group P4/mmm (No. 123)
Unique sites:
Pm1 0.000 0.000 0.248 (multiplicity 2)
Tm1 0.500 0.500 0.500 (multiplicity 1)
Pu1 0.500 0.500 0.000 (multiplicity 1)

Results
Crystal system: tetragonal
Calculated formation energy: 0.1104 eV per atom
M_tot: 6.03 μB/f.u.
Excess energy over the best structure of this formula in the dataset: 0.00 kJ per mole of atoms

# 4
Computed, not measured: a relaxed BaNi2GeTe crystal at the PBE-GGA level of DFT.

abc: 4.916 4.916 6.484
angles: 90.00 90.00 90.00
Space group P4/mmm (No. 123)
Unique sites:
Ba1 0.000 0.000 0.000 (multiplicity 1)
Ni1 0.000 0.500 0.000 (multiplicity 2)
Ge1 0.500 0.500 0.500 (multiplicity 1)
Te1 0.000 0.000 0.500 (multiplicity 1)

Results
Crystal system: tetragonal
M_tot: 0.00 μB/f.u.
E_tot: -2.91 eV/atom

# 5
Computed, not measured: a relaxed CaPt2 crystal at the PBE-GGA level of DFT.

abc: 7.712 7.712 7.712
angles: 90.00 90.00 90.00
Space group Fd-3m (No. 227, origin choice 2)
Unique sites:
Ca1 0.125 0.125 0.125 (multiplicity 8)
Pt1 0.000 0.000 0.500 (multiplicity 16)

Results
Crystal system: cubic
Calculated formation energy: -0.9449 eV per atom
M_tot: 0.00 μB/f.u.

# 6
Computed, not measured: a relaxed AcCuAu crystal at the PBE-GGA level of DFT.

abc: 3.803 3.803 10.040
angles: 90.00 90.00 90.00
Space group I4mm (No. 107)
Unique sites:
Ac1 0.000 0.000 0.000 (multiplicity 2)
Cu1 0.000 0.000 0.688 (multiplicity 2)
Au1 0.000 0.000 0.315 (multiplicity 2)

Results
Crystal system: tetragonal
Calculated formation energy: -0.3372 eV per atom
M_tot: 0.00 μB/f.u.
Excess energy over the best structure of this formula in the dataset: 22.61 kJ per mole of atoms

- Which of these has the highest M_tot?
  Pm2TmPu

- Among the records above, which one has the highest M_tot?
  Pm2TmPu

- What is the M_tot in the fourth record?
  0.00 μB/f.u.